Entry 1:
# Nd2DyIn9

Nd2DyIn9 after structural relaxation (PBE, Alexandria via LeMat-Bulk).

a b c (Å): 4.6918 4.6918 14.0669
angles (deg): 90.00 90.00 90.00
Element x y z (fractional)
Nd  0.0000  0.0000  0.3317
In  0.5000  0.0000  0.1631
In  0.5000  0.5000  0.6673
Dy  0.0000  0.0000  0.0000
In  0.5000  0.5000  0.0000
In  0.0000  0.5000  0.5000
Nd  0.0000  0.0000  0.6683
In  0.5000  0.0000  0.5000
In  0.0000  0.5000  0.1631
In  0.5000  0.5000  0.3327
In  0.5000  0.0000  0.8369
In  0.0000  0.5000  0.8369

Magnetization (Bohr magnetons per cell): 0.00
N(E_F) (states/eV/atom): 0.432
Volume (Å³ per cell): 309.7
Formation energy (eV/f.u.): -5.42

Entry 2:
# Nd2Dy3In4

Nd2Dy3In4 after structural relaxation (PBE, Alexandria via LeMat-Bulk).

a b c (Å): 5.3382 5.3310 10.4438
angles (deg): 90.13 90.00 59.95
Element x y z (fractional)
Dy  0.6665  0.6670  0.5746
In  0.6662  0.6677  0.8992
Nd  0.6672  0.6656  0.2212
Dy  0.0000  0.0000  0.0000
In  0.0002  0.9996  0.3504
In  0.9998  0.0004  0.6496
In  0.3338  0.3323  0.1008
Dy  0.3335  0.3330  0.4254
Nd  0.3328  0.3344  0.7788

Magnetization (Bohr magnetons per cell): 0.00
N(E_F) (states/eV/atom): 0.972
Excess energy over the best structure of this formula in the dataset (eV/f.u.): 0.00
Volume (Å³ per cell): 257.3
Formation energy (eV/f.u.): -3.63

Entry 3:
# Nd3Dy3In

Nd3Dy3In after structural relaxation (PBE, Alexandria via LeMat-Bulk).

a b c (Å): 5.6380 9.5196 9.5193
angles (deg): 120.02 90.00 90.00
Element x y z (fractional)
Nd  0.7500  0.8943  0.5246
Nd  0.2500  0.5243  0.6303
Dy  0.2500  0.2377  0.1778
Nd  0.7500  0.6305  0.1058
Dy  0.7500  0.1777  0.9401
In  0.2500  0.6667  0.3333
Nd  0.2500  0.1057  0.4754
Dy  0.2500  0.8223  0.0599
Dy  0.7500  0.0601  0.2378
Dy  0.7500  0.7623  0.8222
Nd  0.2500  0.3695  0.8942
Nd  0.7500  0.4757  0.3697
Dy  0.2500  0.9399  0.7622
In  0.7500  0.3333  0.6667

Magnetization (Bohr magnetons per cell): 0.02
N(E_F) (states/eV/atom): 1.366
Excess energy over the best structure of this formula in the dataset (eV/f.u.): 0.00
Volume (Å³ per cell): 442.4
Formation energy (eV/f.u.): -0.78

> What is the formula in the third record?

Nd3Dy3In

> Number 1 is which compound?

Nd2DyIn9

> Which formula does entry 3 have?

Nd3Dy3In

> Which of these has the lowest volume?

Nd2Dy3In4